First-principles (PBE+U) data for a relaxed structure of KTlW2O, as listed in Alexandria.

Cell: 4.5157 4.5157 6.0162 Å, 90.00 90.00 90.00°
Last column: nearest neighbours and their distance in Å.
Sites, in units of the cell vectors:
W  0.0000  0.5000  0.0000  2 O 2.26
Tl  0.0000  0.0000  0.5000  2 O 3.01, 4 K 3.19
O  0.0000  0.0000  0.0000  4 W 2.26
K  0.5000  0.5000  0.5000  4 Tl 3.19
W  0.5000  0.0000  0.0000  2 O 2.26

Results
* N(E_F): 0.520 states/eV/atom
* crystal system: tetragonal
* DFT total energy: -3.96 eV/atom
* M_tot: 7.08 μB/f.u.